LiFePO4 (PBE with a Hubbard U, optimized geometry); polymorph energy (0 for the lowest one) = 0.090 eV/atom; SG = Imma; calculated density = 3.89 g/cm3
1.0
-2.851 2.942 4.020
2.851 -2.942 4.020
2.851 2.942 -4.020
Li Fe P O
2 2 2 8
Cartesian
-1.425 1.471 2.010
1.425 1.471 2.010
0.000 0.000 0.000
0.000 2.942 0.000
2.851 1.471 -1.031
0.000 1.471 5.051
2.851 -0.181 1.902
2.851 2.761 -1.902
1.578 1.471 -0.095
4.124 1.471 -0.095
-1.273 1.471 4.115
1.273 1.471 4.115
0.000 0.181 5.921
0.000 3.122 2.118